[1]
La2WBr | PBE-GGA | optimized geometry

Properties
The calculation puts the total DFT energy (no corrections) at -49.5 eV for the cell shown. Its formation energy (no corrections) is -0.068 eV/atom. As for the offset from the most stable computed form: 153.1 meV per atom.

Cell lengths 5.092, 3.601, 11.510 Å; angles 90.00, 90.00, 90.00 degrees
Atoms (fractional coordinates):
La 0.000 0.000 0.000
La 0.000 0.500 0.500
La 0.500 0.000 0.263
La 0.500 0.500 0.763
W 0.000 0.000 0.766
W 0.000 0.500 0.266
Br 0.500 0.000 0.527
Br 0.500 0.500 0.027

[2]
CaV3H | PBE-GGA | optimized geometry

Properties
The calculation puts the total DFT energy (no corrections) at -18.5 eV for the cell shown. As for the offset from the most stable computed form: 2192.5 meV per atom.

Cell lengths 4.781, 4.781, 4.781 Å; angles 90.00, 90.00, 90.00 degrees
Atoms (fractional coordinates):
Ca 0.000 0.000 0.000
V 0.000 0.000 0.500
V 0.000 0.500 0.000
V 0.500 0.000 0.000
H 0.500 0.500 0.500

[3]
ReH2PbCl | PBE-GGA | optimized geometry

Properties
The calculation puts the total DFT energy (no corrections) at -18.2 eV for the cell shown.

Cell lengths 3.886, 3.886, 5.028 Å; angles 90.00, 90.00, 90.00 degrees
Atoms (fractional coordinates):
Re 0.000 0.000 0.000
H 0.000 0.500 0.500
H 0.500 0.000 0.500
Pb 0.500 0.500 0.000
Cl 0.000 0.000 0.500

[4]
SmYC | PBE-GGA | optimized geometry

Properties
The calculation puts the total DFT energy (no corrections) at -42.1 eV for the cell shown. The value obtained for the formation energy is -220.1 meV/atom. As for the offset from the most stable computed form: 0.0 meV per atom.

Cell lengths 6.312, 3.640, 6.622 Å; angles 90.00, 108.11, 90.00 degrees
Atoms (fractional coordinates):
Sm 0.011 0.250 0.279
Sm 0.989 0.750 0.721
Y 0.486 0.250 0.714
Y 0.514 0.750 0.286
C 0.254 0.750 0.501
C 0.746 0.250 0.499

[5]
Cs2Hg6Rh | PBE-GGA | optimized geometry

Properties
The calculation puts the total DFT energy (no corrections) at -11.6 eV for the cell shown. The value obtained for the formation energy is -75.8 meV/atom. As for the offset from the most stable computed form: 42.6 meV per atom.

Cell lengths 9.088, 9.088, 9.088 Å; angles 126.87, 126.87, 78.46 degrees
Atoms (fractional coordinates):
Cs 0.250 0.750 0.500
Cs 0.750 0.250 0.500
Hg 0.000 0.324 0.324
Hg 0.000 0.676 0.676
Hg 0.193 0.193 0.000
Hg 0.324 0.000 0.324
Hg 0.676 0.000 0.676
Hg 0.807 0.807 0.000
Rh 0.000 0.000 0.000

[6]
AlAgOs2 | PBE-GGA | optimized geometry

Properties
The calculation puts the total DFT energy (no corrections) at -27.6 eV for the cell shown. The value obtained for the formation energy is 359.3 meV/atom.

Cell lengths 2.870, 4.575, 4.602 Å; angles 90.00, 90.00, 90.00 degrees
Atoms (fractional coordinates):
Al 0.000 0.000 0.000
Ag 0.500 0.000 0.500
Os 0.000 0.500 0.500
Os 0.500 0.500 0.000

[7]
La2ZnSbH | PBE-GGA | optimized geometry

Properties
The calculation puts the total DFT energy (no corrections) at -21.6 eV for the cell shown.

Cell lengths 5.070, 5.070, 4.400 Å; angles 90.00, 90.00, 90.00 degrees
Atoms (fractional coordinates):
La 0.000 0.500 0.000
La 0.500 0.000 0.000
Zn 0.000 0.000 0.500
Sb 0.500 0.500 0.500
H 0.000 0.000 0.000

[8]
ThTi2Tl | PBE-GGA | optimized geometry

Properties
The calculation puts the total DFT energy (no corrections) at -25.0 eV for the cell shown. The value obtained for the formation energy is 134.9 meV/atom. As for the offset from the most stable computed form: 35.3 meV per atom.

Cell lengths 3.567, 3.567, 6.874 Å; angles 90.00, 90.00, 90.00 degrees
Atoms (fractional coordinates):
Th 0.000 0.000 0.000
Ti 0.500 0.500 0.261
Ti 0.500 0.500 0.739
Tl 0.000 0.000 0.500

[9]
ReI3Br3 | PBE-GGA | optimized geometry

Properties
The calculation puts the total DFT energy (no corrections) at -21.6 eV for the cell shown. Its formation energy (no corrections) is 0.071 eV/atom.

Cell lengths 7.215, 7.215, 7.215 Å; angles 108.88, 108.88, 108.88 degrees
Atoms (fractional coordinates):
Re 0.000 0.000 0.000
I 0.561 0.863 0.863
I 0.863 0.561 0.863
I 0.863 0.863 0.561
Br 0.022 0.305 0.305
Br 0.305 0.022 0.305
Br 0.305 0.305 0.022

[10]
YErIrPd | PBE-GGA | optimized geometry

Properties
The calculation puts the total DFT energy (no corrections) at -115.0 eV for the cell shown. The value obtained for the formation energy is -914.3 meV/atom.

Cell lengths 6.905, 6.905, 6.905 Å; angles 90.00, 90.00, 90.00 degrees
Atoms (fractional coordinates):
Y 0.000 0.000 0.000
Y 0.000 0.500 0.500
Y 0.500 0.000 0.500
Y 0.500 0.500 0.000
Er 0.000 0.000 0.500
Er 0.000 0.500 0.000
Er 0.500 0.000 0.000
Er 0.500 0.500 0.500
Ir 0.250 0.250 0.250
Ir 0.250 0.750 0.750
Ir 0.750 0.250 0.750
Ir 0.750 0.750 0.250
Pd 0.250 0.250 0.750
Pd 0.250 0.750 0.250
Pd 0.750 0.250 0.250
Pd 0.750 0.750 0.750

[11]
Ca3AgAu | PBE-GGA | optimized geometry

Properties
The calculation puts the total DFT energy (no corrections) at -28.4 eV for the cell shown. The value obtained for the formation energy is -415.3 meV/atom. As for the offset from the most stable computed form: 39.4 meV per atom.

Cell lengths 4.147, 7.973, 9.575 Å; angles 107.38, 90.18, 90.15 degrees
Atoms (fractional coordinates):
Ca 0.000 0.000 0.000
Ca 0.001 0.544 0.109
Ca 0.005 0.094 0.389
Ca 0.011 0.586 0.719
Ca 0.504 0.736 0.450
Ca 0.505 0.214 0.772
Ag 0.502 0.272 0.189
Ag 0.508 0.381 0.503
Au 0.004 0.937 0.664
Au 0.501 0.853 0.172

[12]
Tb3Nd6Tm2Mg | PBE-GGA | optimized geometry

Properties
The calculation puts the total DFT energy (no corrections) at -52.7 eV for the cell shown. The value obtained for the formation energy is 25.5 meV/atom.

Cell lengths 6.244, 6.244, 11.763 Å; angles 95.09, 95.09, 120.02 degrees
Atoms (fractional coordinates):
Tb 0.000 0.000 0.000
Tb 0.333 0.667 0.000
Tb 0.667 0.333 0.000
Nd 0.085 0.418 0.254
Nd 0.249 0.249 0.748
Nd 0.418 0.085 0.254
Nd 0.582 0.915 0.746
Nd 0.751 0.751 0.252
Nd 0.915 0.582 0.746
Tm 0.167 0.833 0.500
Tm 0.833 0.167 0.500
Mg 0.500 0.500 0.500

- What is the total DFT energy (no corrections) in the ninth record?
  -21.6 eV for the cell shown

- Which value of total DFT energy (no corrections) does entry 4 give?
  -42.1 eV for the cell shown

- What is the total DFT energy (no corrections) in the eleventh record?
  -28.4 eV for the cell shown